VASP calculation (PBE-GGA) on crystalline Er4AgPd2Ru at its relaxed geometry.

Cell: 4.9214 4.9214 24.1746 Å, 90.00 90.00 120.00°
Last column: nearest neighbours and their distance in Å.
Space group R-3m (No. 166, hexagonal axes)
Inequivalent atoms, fractional coordinates:
Er 0.0000 0.0000 0.1193 (multiplicity 6)  1 Ru 2.88, 4 Pd 2.97-3.16, 3 Ag 3.06
Er 0.0000 0.0000 0.3705 (multiplicity 6)  4 Pd 2.92-3.05, 3 Ru 2.98, 1 Ag 3.13
Ag 0.0000 0.0000 0.5000 (multiplicity 3)  8 Er 3.06-3.13
Pd 0.0000 0.0000 0.2498 (multiplicity 6)  8 Er 2.92-3.16
Ru 0.0000 0.0000 0.0000 (multiplicity 3)  8 Er 2.88-2.98

Calculated values
* E_form: -0.669 eV/atom
* crystal system: trigonal
* Fermi-level density of states: 0.53 states/eV per atom

***

VASP calculation (PBE-GGA) on crystalline Zr3CoRu at its relaxed geometry.

Cell: 4.9484 4.9484 4.9484 Å, 90.00 90.00 90.00°
Last column: nearest neighbours and their distance in Å.
Space group Pm-3m (No. 221)
Inequivalent atoms, fractional coordinates:
Zr 0.0000 0.0000 0.5000 (multiplicity 3)  2 Ru 2.47
Co 0.5000 0.5000 0.5000 (multiplicity 1)  12 Zr 3.50
Ru 0.0000 0.0000 0.0000 (multiplicity 1)  6 Zr 2.47

Calculated values
* E_form: 0.763 eV/atom
* excess energy over the best structure of this formula in the dataset: 368 meV/atom
* crystal system: cubic
* Fermi-level density of states: 1.85 states/eV per atom

***

VASP calculation (PBE-GGA) on crystalline PaBeOs2 at its relaxed geometry.

Cell: 3.0175 3.0175 6.7722 Å, 90.00 90.00 90.00°
Last column: nearest neighbours and their distance in Å.
Space group P4/mmm (No. 123)
Inequivalent atoms, fractional coordinates:
Pa 0.0000 0.0000 0.0000 (multiplicity 1)  8 Os 2.98, 4 Pa 3.02
Be 0.0000 0.0000 0.5000 (multiplicity 1)  8 Os 2.50
Os 0.5000 0.5000 0.3067 (multiplicity 2)  4 Be 2.50, 1 Os 2.62

Calculated values
* E_form: 0.027 eV/atom
* excess energy over the best structure of this formula in the dataset: 173 meV/atom
* crystal system: tetragonal
* Fermi-level density of states: 1.29 states/eV per atom

***

VASP calculation (PBE-GGA) on crystalline Tb2CePrDy at its relaxed geometry.

Cell: 5.9127 7.8009 7.2154 Å, 90.00 90.00 90.00°
Last column: nearest neighbours and their distance in Å.
Space group Pmma (No. 51)
Inequivalent atoms, fractional coordinates:
Tb 0.2500 0.2099 0.1796 (multiplicity 4)  1 Dy 3.09, 1 Tb 3.27
Ce 0.0000 0.5000 0.5000 (multiplicity 2)  2 Ce 2.96, 2 Dy 3.17
Pr 0.2500 0.0000 0.6628 (multiplicity 2)  6 Tb 3.57-3.85, 2 Pr 3.78
Dy 0.2500 0.5000 0.8882 (multiplicity 2)  2 Tb 3.09, 2 Ce 3.17, 2 Dy 3.37

Calculated values
* E_form: 0.280 eV/atom
* crystal system: orthorhombic
* Fermi-level density of states: 2.05 states/eV per atom